[1]
First-principles (GGA-PBE) data for a geometry-optimized SrNb3Tc structure, as listed in Alexandria.

Output
- space-group type = No. 221
- DOS(E_F) (states/eV/f.u.) = 6.617
- ΔE_f (kJ/mol of atoms) = 81
- relative energy among the computed polymorphs (meV/atom) = 0
- crystal system = cubic

a = 4.958 Å, b = 4.958 Å, c = 4.958 Å
α = 90.00°, β = 90.00°, γ = 90.00°
Element x y z (fractional)
Sr  0.000  0.000  0.000
Nb  0.000  0.500  0.500
Nb  0.500  0.000  0.500
Nb  0.500  0.500  0.000
Tc  0.500  0.500  0.500



[2]
First-principles (GGA-PBE) data for a geometry-optimized RuPb2O6 structure, as listed in Alexandria.

Output
- space-group type = No. 58
- uncorrected formation energy (eV per atom) = -0.901
- DOS(E_F) (states/eV/f.u.) = 4.711
- relative energy among the computed polymorphs (meV/atom) = 0
- crystal system = orthorhombic

a = 5.245 Å, b = 5.707 Å, c = 9.108 Å
α = 90.00°, β = 90.00°, γ = 90.00°
Element x y z (fractional)
Ru  0.000  0.000  0.000
Ru  0.500  0.500  0.500
Pb  0.000  0.500  0.193
Pb  0.000  0.500  0.807
Pb  0.500  0.000  0.307
Pb  0.500  0.000  0.693
O  0.193  0.292  0.000
O  0.207  0.851  0.152
O  0.207  0.851  0.848
O  0.293  0.351  0.348
O  0.293  0.351  0.652
O  0.307  0.792  0.500
O  0.693  0.208  0.500
O  0.707  0.649  0.348
O  0.707  0.649  0.652
O  0.793  0.149  0.152
O  0.793  0.149  0.848
O  0.807  0.708  0.000



[3]
First-principles (GGA-PBE) data for a geometry-optimized HfCuSbI2 structure, as listed in Alexandria.

Output
- space-group type = No. 123
- uncorrected formation energy (eV per atom) = 0.381
- DOS(E_F) (states/eV/f.u.) = 2.474
- relative energy among the computed polymorphs (meV/atom) = 0
- crystal system = tetragonal

a = 5.569 Å, b = 5.569 Å, c = 5.742 Å
α = 90.00°, β = 90.00°, γ = 90.00°
Element x y z (fractional)
Hf  0.000  0.000  0.000
Cu  0.500  0.500  0.500
Sb  0.000  0.000  0.500
I  0.000  0.500  0.000
I  0.500  0.000  0.000